A plane-wave DFT calculation with PBE was carried out for a geometry-optimized MnTeSe2 structure.

Unit cell a=3.0776 b=3.0776 c=12.1500 alpha=90.00 beta=90.00 gamma=90.00
Closest atoms and distances in Å follow each position.
Sites, in units of the cell vectors:
Mn  0.0000  0.0000  0.0000  5 Se 2.42-2.49
Te  0.5000  0.5000  0.5450  4 Te 3.08
Se  0.0000  0.0000  0.1989  1 Mn 2.42
Se  0.5000  0.5000  0.9012  4 Mn 2.49

## Properties
Calculated volume (Å³ per cell): 115.1
M_tot (μB/cell): 3.6
Uncorrected energy (Ha/atom): -0.1776
E_form (uncorrected) (kJ per mole of atoms): -1
DOS(E_F) (states/eV per cell): 3.11